[1]
! Nd6Te2Ru | the Alexandria database | PBE | optimized geometry; values from VASP
! uncorrected formation energy = -0.6571 eV per atom
! mass density = 7.23 g cm⁻³
! crystal system = monoclinic
! DOS at the Fermi energy = 18.2 states/eV per cell
&SYSTEM
  ibrav = 0, nat = 18, ntyp = 3
/
ATOMIC_SPECIES
Te 127.60 Te.upf
Nd 144.24 Nd.upf
Ru 101.07 Ru.upf
CELL_PARAMETERS angstrom
6.5135 0.0000 0.0718
0.0000 8.1790 0.0000
-0.5925 0.0000 10.5318
ATOMIC_POSITIONS crystal
Te 0.4078 0.1138 0.2515
Te 0.9078 0.3862 0.7515
Te 0.0922 0.6138 0.2485
Te 0.5922 0.8862 0.7485
Nd 0.8778 0.9807 0.2503
Nd 0.3629 0.8154 0.4580
Nd 0.6411 0.1787 0.9604
Nd 0.8589 0.6787 0.5396
Nd 0.1371 0.3154 0.0420
Nd 0.3589 0.8213 0.0396
Nd 0.1222 0.0193 0.7497
Nd 0.6371 0.1846 0.5420
Nd 0.8629 0.6846 0.9580
Nd 0.3778 0.5193 0.7503
Nd 0.1411 0.3213 0.4604
Nd 0.6222 0.4807 0.2497
Ru 0.5000 0.5000 0.0000
Ru 0.0000 0.0000 0.5000



[2]
! Nd3Te2Ru | the Alexandria database | PBE | optimized geometry; values from VASP
! uncorrected formation energy = -0.9338 eV per atom
! mass density = 7.15 g cm⁻³
! crystal system = monoclinic
! DOS at the Fermi energy = 6.3 states/eV per cell
&SYSTEM
  ibrav = 0, nat = 12, ntyp = 3
/
ATOMIC_SPECIES
Nd 144.24 Nd.upf
Ru 101.07 Ru.upf
Te 127.60 Te.upf
CELL_PARAMETERS angstrom
-4.6290 4.1780 -0.6547
-2.4426 -3.8281 -7.1600
-1.2786 -5.2219 5.7395
ATOMIC_POSITIONS crystal
Nd 0.4509 0.2500 0.0000
Nd 0.1380 0.5693 0.2780
Nd 0.8620 0.4307 0.7220
Nd 0.1401 0.0693 0.2780
Nd 0.8599 0.9307 0.7220
Nd 0.5491 0.7500 0.0000
Ru 0.9957 0.7500 0.0000
Ru 0.0043 0.2500 0.0000
Te 0.6770 0.0882 0.3516
Te 0.6746 0.5882 0.3516
Te 0.3254 0.4118 0.6484
Te 0.3230 0.9118 0.6484



[3]
! Nd5Te4Ru | the Alexandria database | PBE | optimized geometry; values from VASP
! uncorrected formation energy = -1.1619 eV per atom
! mass density = 6.97 g cm⁻³
! crystal system = tetragonal
! DOS at the Fermi energy = 8.5 states/eV per cell
&SYSTEM
  ibrav = 0, nat = 10, ntyp = 3
/
ATOMIC_SPECIES
Te 127.60 Te.upf
Ru 101.07 Ru.upf
Nd 144.24 Nd.upf
CELL_PARAMETERS angstrom
-2.2919 3.0950 5.0891
2.2140 -2.9614 6.7999
4.5131 5.7549 2.5343
ATOMIC_POSITIONS crystal
Te 0.1930 0.2179 0.3983
Te 0.5913 0.6017 0.2179
Te 0.8091 0.7821 0.6017
Te 0.4108 0.3983 0.7821
Ru 0.0010 0.0000 0.0000
Nd 0.7412 0.1686 0.3510
Nd 0.0922 0.6490 0.1686
Nd 0.5011 0.0000 0.0000
Nd 0.2608 0.8314 0.6490
Nd 0.9098 0.3510 0.8314



[4]
! NdTh2Ru | the Alexandria database | PBE | optimized geometry; values from VASP
! ΔE_f = -0.10 eV per atom
! mass density = 10.49 g cm⁻³
! crystal system = tetragonal
! DOS at the Fermi energy = 7.9 states/eV per cell
&SYSTEM
  ibrav = 0, nat = 4, ntyp = 3
/
ATOMIC_SPECIES
Th 232.04 Th.upf
Ru 101.07 Ru.upf
Nd 144.24 Nd.upf
CELL_PARAMETERS angstrom
-0.3195 2.5496 2.5732
-0.0719 -2.5872 2.5545
8.4602 0.4055 0.6488
ATOMIC_POSITIONS crystal
Th 0.0000 0.0000 0.8063
Th 0.0000 0.0000 0.1937
Ru 0.5000 0.5000 0.0000
Nd 0.5000 0.5000 0.5000



[5]
! NdTh2Ru | the Alexandria database | PBE | optimized geometry; values from VASP
! ΔE_f = 0.03 eV per atom
! mass density = 8.93 g cm⁻³
! crystal system = trigonal
! DOS at the Fermi energy = 5.3 states/eV per cell
&SYSTEM
  ibrav = 0, nat = 4, ntyp = 3
/
ATOMIC_SPECIES
Th 232.04 Th.upf
Nd 144.24 Nd.upf
Ru 101.07 Ru.upf
CELL_PARAMETERS angstrom
-1.3855 -1.4897 3.2694
-1.2210 -3.6510 0.0867
8.5786 -4.8116 3.7108
ATOMIC_POSITIONS crystal
Th 0.1122 0.1122 0.6634
Th 0.8878 0.8878 0.3366
Nd 0.0000 0.0000 0.0000
Ru 0.5000 0.5000 0.5000



[6]
! Nd2ThRu | the Alexandria database | PBE | optimized geometry; values from VASP
! ΔE_f = 0.26 eV per atom
! mass density = 8.74 g cm⁻³
! crystal system = trigonal
! DOS at the Fermi energy = 6.5 states/eV per cell
&SYSTEM
  ibrav = 0, nat = 4, ntyp = 3
/
ATOMIC_SPECIES
Nd 144.24 Nd.upf
Ru 101.07 Ru.upf
Th 232.04 Th.upf
CELL_PARAMETERS angstrom
-0.5208 1.9356 2.8919
-3.0086 -0.3001 1.7997
3.2943 -7.4312 7.7078
ATOMIC_POSITIONS crystal
Nd 0.1057 0.1057 0.6828
Nd 0.8943 0.8943 0.3172
Ru 0.5000 0.5000 0.5000
Th 0.0000 0.0000 0.0000



[7]
! Nd2ThRu | the Alexandria database | PBE | optimized geometry; values from VASP
! ΔE_f = -0.22 eV per atom
! mass density = 8.73 g cm⁻³
! crystal system = orthorhombic
! DOS at the Fermi energy = 10.6 states/eV per cell
&SYSTEM
  ibrav = 0, nat = 8, ntyp = 3
/
ATOMIC_SPECIES
Th 232.04 Th.upf
Ru 101.07 Ru.upf
Nd 144.24 Nd.upf
CELL_PARAMETERS angstrom
3.8766 -0.0001 0.0000
-1.9358 6.1074 0.0000
0.0000 0.0000 9.9901
ATOMIC_POSITIONS crystal
Th 0.0884 0.1768 0.7500
Th 0.9116 0.8232 0.2500
Ru 0.7390 0.4775 0.7500
Ru 0.2610 0.5225 0.2500
Nd 0.3595 0.7192 0.5683
Nd 0.6405 0.2808 0.0683
Nd 0.3595 0.7192 0.9317
Nd 0.6405 0.2808 0.4317



[8]
! NdTh2Ru | the Alexandria database | PBE | optimized geometry; values from VASP
! ΔE_f = -0.17 eV per atom
! mass density = 9.43 g cm⁻³
! crystal system = trigonal
! DOS at the Fermi energy = 5.5 states/eV per cell
&SYSTEM
  ibrav = 0, nat = 4, ntyp = 3
/
ATOMIC_SPECIES
Nd 144.24 Nd.upf
Th 232.04 Th.upf
Ru 101.07 Ru.upf
CELL_PARAMETERS angstrom
-3.8156 -0.8916 -0.6885
-1.4359 -3.5539 1.0658
-4.0096 1.8799 8.2920
ATOMIC_POSITIONS crystal
Nd 0.5001 0.5001 0.4996
Th 0.0594 0.0594 0.8219
Th 0.2745 0.2745 0.1766
Ru 0.6660 0.6660 0.0019



[9]
! Nd2Th3Ru2 | the Alexandria database | PBE | optimized geometry; values from VASP
! ΔE_f = -0.31 eV per atom
! mass density = 10.07 g cm⁻³
! crystal system = monoclinic
! DOS at the Fermi energy = 7.3 states/eV per cell
&SYSTEM
  ibrav = 0, nat = 7, ntyp = 3
/
ATOMIC_SPECIES
Ru 101.07 Ru.upf
Nd 144.24 Nd.upf
Th 232.04 Th.upf
CELL_PARAMETERS angstrom
-2.5356 -2.0955 -2.1235
2.5179 -5.9875 -0.7077
-3.5886 -5.1799 5.7871
ATOMIC_POSITIONS crystal
Ru 0.8580 0.0415 0.2426
Ru 0.1420 0.9585 0.7574
Nd 0.8407 0.5091 0.8094
Nd 0.1593 0.4909 0.1906
Th 0.3803 0.7936 0.4458
Th 0.6197 0.2064 0.5542
Th 0.5000 0.0000 0.0000



[10]
! Nd2ThRu | the Alexandria database | PBE | optimized geometry; values from VASP
! ΔE_f = -0.27 eV per atom
! mass density = 8.67 g cm⁻³
! crystal system = orthorhombic
! DOS at the Fermi energy = 19.0 states/eV per cell
&SYSTEM
  ibrav = 0, nat = 16, ntyp = 3
/
ATOMIC_SPECIES
Nd 144.24 Nd.upf
Th 232.04 Th.upf
Ru 101.07 Ru.upf
CELL_PARAMETERS angstrom
-6.2752 -1.2494 -1.2068
0.1609 -5.4761 4.8325
-2.6624 6.3432 7.2768
ATOMIC_POSITIONS crystal
Nd 0.6739 0.8280 0.5666
Nd 0.3261 0.1720 0.4334
Nd 0.8261 0.3280 0.5666
Nd 0.1739 0.6720 0.4334
Nd 0.8261 0.3280 0.9334
Nd 0.6739 0.8280 0.9334
Nd 0.3261 0.1720 0.0666
Nd 0.1739 0.6720 0.0666
Th 0.6663 0.5513 0.2500
Th 0.1663 0.9487 0.7500
Th 0.3337 0.4487 0.7500
Th 0.8337 0.0513 0.2500
Ru 0.0199 0.3670 0.2500
Ru 0.4801 0.8670 0.2500
Ru 0.5199 0.1330 0.7500
Ru 0.9801 0.6330 0.7500



[11]
! Nd2ThRu2 | the Alexandria database | PBE | optimized geometry; values from VASP
! ΔE_f = -0.32 eV per atom
! mass density = 9.20 g cm⁻³
! crystal system = monoclinic
! DOS at the Fermi energy = 6.7 states/eV per cell
&SYSTEM
  ibrav = 0, nat = 10, ntyp = 3
/
ATOMIC_SPECIES
Ru 101.07 Ru.upf
Nd 144.24 Nd.upf
Th 232.04 Th.upf
CELL_PARAMETERS angstrom
-3.4232 -1.0570 5.3506
2.7680 -0.3164 5.8054
-1.0205 7.1309 2.2808
ATOMIC_POSITIONS crystal
Ru 0.9700 0.7137 0.0248
Ru 0.7137 0.9700 0.5248
Ru 0.0300 0.2863 0.9752
Ru 0.2863 0.0300 0.4752
Nd 0.5500 0.7679 0.8504
Nd 0.4500 0.2321 0.1496
Nd 0.7679 0.5500 0.3504
Nd 0.2321 0.4500 0.6496
Th 0.0734 0.9266 0.2500
Th 0.9266 0.0734 0.7500



[12]
! Nd3ThRu8 | the Alexandria database | PBE | optimized geometry; values from VASP
! ΔE_f = -0.19 eV per atom
! mass density = 10.82 g cm⁻³
! crystal system = trigonal
! DOS at the Fermi energy = 11.2 states/eV per cell
&SYSTEM
  ibrav = 0, nat = 12, ntyp = 3
/
ATOMIC_SPECIES
Ru 101.07 Ru.upf
Th 232.04 Th.upf
Nd 144.24 Nd.upf
CELL_PARAMETERS angstrom
-4.8908 2.3161 0.1301
-4.1404 -2.2690 -2.6474
-5.0601 -4.7205 6.4257
ATOMIC_POSITIONS crystal
Ru 0.9350 0.9350 0.6861
Ru 0.4349 0.4349 0.1874
Ru 0.9429 0.4349 0.1874
Ru 0.1849 0.1849 0.4453
Ru 0.9350 0.4439 0.6861
Ru 0.4349 0.9429 0.1874
Ru 0.6848 0.6848 0.9457
Ru 0.4439 0.9350 0.6861
Th 0.8763 0.8763 0.3711
Nd 0.0019 0.0019 0.9942
Nd 0.4997 0.4997 0.5009
Nd 0.3759 0.3759 0.8724



[13]
! NdThZnRu | the Alexandria database | PBE | optimized geometry; values from VASP
! ΔE_f = -0.24 eV per atom
! mass density = 9.65 g cm⁻³
! crystal system = cubic
! DOS at the Fermi energy = 2.4 states/eV per cell
&SYSTEM
  ibrav = 0, nat = 4, ntyp = 4
/
ATOMIC_SPECIES
Ru 101.07 Ru.upf
Th 232.04 Th.upf
Nd 144.24 Nd.upf
Zn 65.41 Zn.upf
CELL_PARAMETERS angstrom
5.0936 0.0000 0.0000
2.5468 4.4112 0.0000
2.5468 1.4704 4.1589
ATOMIC_POSITIONS crystal
Ru 0.7500 0.7500 0.7500
Th 0.5000 0.5000 0.5000
Nd 0.0000 0.0000 0.0000
Zn 0.2500 0.2500 0.2500



[14]
! Nd3Tl2Ru | the Alexandria database | PBE | optimized geometry; values from VASP
! ΔE_f = -0.23 eV per atom
! mass density = 8.72 g cm⁻³
! crystal system = monoclinic
! DOS at the Fermi energy = 6.5 states/eV per cell
&SYSTEM
  ibrav = 0, nat = 12, ntyp = 3
/
ATOMIC_SPECIES
Nd 144.24 Nd.upf
Tl 204.38 Tl.upf
Ru 101.07 Ru.upf
CELL_PARAMETERS angstrom
7.9852 0.0000 -0.6742
3.9926 5.5389 -0.3371
2.0772 0.0000 7.9446
ATOMIC_POSITIONS crystal
Nd 0.4544 0.6386 0.7750
Nd 0.9070 0.6386 0.2250
Nd 0.6723 0.0000 0.8316
Nd 0.3277 0.0000 0.1684
Nd 0.0930 0.3614 0.7750
Nd 0.5456 0.3614 0.2250
Tl 0.5000 0.0000 0.5000
Tl 0.8648 0.2704 0.5000
Tl 0.0000 0.0000 0.0000
Tl 0.1352 0.7296 0.5000
Ru 0.7074 0.5852 0.0000
Ru 0.2926 0.4148 0.0000



[15]
! Nd8Tl2Ru3 | the Alexandria database | PBE | optimized geometry; values from VASP
! ΔE_f = -0.13 eV per atom
! mass density = 7.38 g cm⁻³
! crystal system = monoclinic
! DOS at the Fermi energy = 10.6 states/eV per cell
&SYSTEM
  ibrav = 0, nat = 13, ntyp = 3
/
ATOMIC_SPECIES
Ru 101.07 Ru.upf
Nd 144.24 Nd.upf
Tl 204.38 Tl.upf
CELL_PARAMETERS angstrom
6.6550 0.0000 0.5033
0.0000 7.7050 0.0000
-2.1630 -3.8525 8.0214
ATOMIC_POSITIONS crystal
Ru 0.0000 0.2059 0.0000
Ru 0.0000 0.7941 0.0000
Ru 0.5000 0.0000 0.0000
Nd 0.1181 0.8714 0.7428
Nd 0.1124 0.4120 0.8240
Nd 0.8819 0.1286 0.2572
Nd 0.3808 0.3474 0.1984
Nd 0.6192 0.1491 0.8016
Nd 0.8876 0.5880 0.1760
Nd 0.6192 0.6526 0.8016
Nd 0.3808 0.8509 0.1984
Tl 0.3545 0.2557 0.5114
Tl 0.6455 0.7443 0.4886



[16]
! Nd8Tl2Ru3 | the Alexandria database | PBE | optimized geometry; values from VASP
! ΔE_f = -0.15 eV per atom
! mass density = 7.93 g cm⁻³
! crystal system = orthorhombic
! DOS at the Fermi energy = 12.7 states/eV per cell
&SYSTEM
  ibrav = 0, nat = 13, ntyp = 3
/
ATOMIC_SPECIES
Nd 144.24 Nd.upf
Tl 204.38 Tl.upf
Ru 101.07 Ru.upf
CELL_PARAMETERS angstrom
5.0262 -7.5893 0.0000
5.0262 7.5893 0.0000
0.0000 0.0000 5.1199
ATOMIC_POSITIONS crystal
Nd 0.8647 0.6445 0.5000
Nd 0.8875 0.1125 0.0000
Nd 0.1353 0.3555 0.5000
Nd 0.6445 0.8647 0.5000
Nd 0.1125 0.8875 0.0000
Nd 0.6099 0.3901 0.0000
Nd 0.3555 0.1353 0.5000
Nd 0.3901 0.6099 0.0000
Tl 0.7432 0.2568 0.5000
Tl 0.2568 0.7432 0.5000
Ru 0.7495 0.7495 0.0000
Ru 0.2505 0.2505 0.0000
Ru 0.0000 0.0000 0.5000



[17]
! Nd4TlRu | the Alexandria database | PBE | optimized geometry; values from VASP
! ΔE_f = -0.29 eV per atom
! mass density = 8.39 g cm⁻³
! crystal system = cubic
! DOS at the Fermi energy = 17.5 states/eV per cell
&SYSTEM
  ibrav = 0, nat = 24, ntyp = 3
/
ATOMIC_SPECIES
Nd 144.24 Nd.upf
Tl 204.38 Tl.upf
Ru 101.07 Ru.upf
CELL_PARAMETERS angstrom
-3.4592 -5.8711 7.2647
-3.5803 -9.0358 -2.1789
5.0777 -8.1444 2.6643
ATOMIC_POSITIONS crystal
Nd 0.5580 0.5580 0.9420
Nd 0.4034 0.7898 0.4034
Nd 0.8086 0.8086 0.1914
Nd 0.7898 0.4034 0.4034
Nd 0.9420 0.5580 0.9420
Nd 0.1914 0.8086 0.1914
Nd 0.5580 0.9420 0.5580
Nd 0.8086 0.1914 0.8086
Nd 0.4034 0.4034 0.4034
Nd 0.8086 0.1914 0.1914
Nd 0.1914 0.8086 0.8086
Nd 0.1914 0.1914 0.8086
Nd 0.9420 0.5580 0.5580
Nd 0.4034 0.4034 0.7898
Nd 0.9420 0.9420 0.5580
Nd 0.5580 0.9420 0.9420
Tl 0.1664 0.1664 0.5009
Tl 0.1664 0.5009 0.1664
Tl 0.1664 0.1664 0.1664
Tl 0.5009 0.1664 0.1664
Ru 0.6124 0.6124 0.1627
Ru 0.6124 0.6124 0.6124
Ru 0.6124 0.1627 0.6124
Ru 0.1627 0.6124 0.6124



[18]
! Nd3TlRu | the Alexandria database | PBE | optimized geometry; values from VASP
! ΔE_f = -0.27 eV per atom
! mass density = 8.67 g cm⁻³
! crystal system = orthorhombic
! DOS at the Fermi energy = 6.6 states/eV per cell
&SYSTEM
  ibrav = 0, nat = 10, ntyp = 3
/
ATOMIC_SPECIES
Nd 144.24 Nd.upf
Tl 204.38 Tl.upf
Ru 101.07 Ru.upf
CELL_PARAMETERS angstrom
5.9597 0.1197 -1.2369
-2.7156 5.3063 -1.2369
-0.0808 -0.1359 8.9107
ATOMIC_POSITIONS crystal
Nd 0.3003 0.8003 0.1007
Nd 0.3046 0.4193 0.7239
Nd 0.6954 0.5807 0.2761
Nd 0.6997 0.1997 0.8993
Nd 0.0806 0.1954 0.2761
Nd 0.9194 0.8046 0.7239
Tl 0.7126 0.2126 0.5000
Tl 0.2874 0.7874 0.5000
Ru 0.7500 0.7500 0.0000
Ru 0.2500 0.2500 0.0000



[19]
! Nd4Tl3Ru | the Alexandria database | PBE | optimized geometry; values from VASP
! ΔE_f = -0.32 eV per atom
! mass density = 9.64 g cm⁻³
! crystal system = tetragonal
! DOS at the Fermi energy = 7.1 states/eV per cell
&SYSTEM
  ibrav = 0, nat = 8, ntyp = 3
/
ATOMIC_SPECIES
Tl 204.38 Tl.upf
Ru 101.07 Ru.upf
Nd 144.24 Nd.upf
CELL_PARAMETERS angstrom
3.5968 0.0000 0.0000
0.0000 3.5968 0.0000
0.0000 0.0000 17.1999
ATOMIC_POSITIONS crystal
Tl 0.5000 0.5000 0.5000
Tl 0.5000 0.5000 0.2402
Tl 0.5000 0.5000 0.7598
Ru 0.5000 0.5000 0.0000
Nd 0.0000 0.0000 0.3690
Nd 0.0000 0.0000 0.0993
Nd 0.0000 0.0000 0.9007
Nd 0.0000 0.0000 0.6310



[20]
! Nd7TlRu2 | the Alexandria database | PBE | optimized geometry; values from VASP
! ΔE_f = -0.03 eV per atom
! mass density = 6.85 g cm⁻³
! crystal system = orthorhombic
! DOS at the Fermi energy = 10.3 states/eV per cell
&SYSTEM
  ibrav = 0, nat = 10, ntyp = 3
/
ATOMIC_SPECIES
Nd 144.24 Nd.upf
Ru 101.07 Ru.upf
Tl 204.38 Tl.upf
CELL_PARAMETERS angstrom
-4.3194 2.9281 -1.0342
-4.5000 -4.8034 5.1949
3.5522 6.5801 3.7940
ATOMIC_POSITIONS crystal
Nd 0.5000 0.5000 0.5000
Nd 0.5000 0.0541 0.3144
Nd 0.5000 0.9459 0.6856
Nd 0.0000 0.7196 0.2804
Nd 0.5000 0.3144 0.0541
Nd 0.0000 0.2804 0.7196
Nd 0.5000 0.6856 0.9459
Ru 0.5000 0.3025 0.6975
Ru 0.5000 0.6975 0.3025
Tl 0.0000 0.0000 0.0000



[21]
! Nd4TlRu | the Alexandria database | PBE | optimized geometry; values from VASP
! ΔE_f = -0.25 eV per atom
! mass density = 8.05 g cm⁻³
! crystal system = monoclinic
! DOS at the Fermi energy = 13.6 states/eV per cell
&SYSTEM
  ibrav = 0, nat = 12, ntyp = 3
/
ATOMIC_SPECIES
Tl 204.38 Tl.upf
Nd 144.24 Nd.upf
Ru 101.07 Ru.upf
CELL_PARAMETERS angstrom
6.3517 -0.8289 0.0000
-2.6536 9.0034 0.0000
-1.8491 -4.0873 6.6209
ATOMIC_POSITIONS crystal
Tl 0.3723 0.6223 0.2446
Tl 0.6277 0.3777 0.7554
Nd 0.7661 0.3652 0.1633
Nd 0.2339 0.6348 0.8367
Nd 0.1028 0.2019 0.8367
Nd 0.7682 0.7227 0.6663
Nd 0.8972 0.7981 0.1633
Nd 0.6019 0.0563 0.3337
Nd 0.3981 0.9437 0.6663
Nd 0.2318 0.2773 0.3337
Ru 0.2501 0.0001 0.0001
Ru 0.7499 0.9999 0.9999



[22]
! Nd6TlRu | the Alexandria database | PBE | optimized geometry; values from VASP
! ΔE_f = -0.03 eV per atom
! mass density = 7.18 g cm⁻³
! crystal system = monoclinic
! DOS at the Fermi energy = 9.6 states/eV per cell
&SYSTEM
  ibrav = 0, nat = 8, ntyp = 3
/
ATOMIC_SPECIES
Nd 144.24 Nd.upf
Tl 204.38 Tl.upf
Ru 101.07 Ru.upf
CELL_PARAMETERS angstrom
-2.9931 4.2158 -4.1216
-6.7490 2.3591 3.8947
-0.7505 5.1417 4.0944
ATOMIC_POSITIONS crystal
Nd 0.7885 0.1922 0.3722
Nd 0.3594 0.2149 0.0000
Nd 0.2115 0.4357 0.3722
Nd 0.6405 0.7851 0.0000
Nd 0.7885 0.5643 0.6278
Nd 0.2115 0.8078 0.6278
Tl 0.0000 0.0000 0.0000
Ru 0.5000 0.5000 0.0000